Run P
# PBE AcPr2Te3, optimized geometry
data_AcPr2Te3
_space_group_name_H-M_alt 'C 1 2/m 1'
_space_group_IT_number 12
_cell_length_a 15.214
_cell_length_b 4.612
_cell_length_c 6.510
_cell_angle_alpha 90.00
_cell_angle_beta 115.18
_cell_angle_gamma 90.00
loop_
_space_group_symop_operation_xyz
'x,y,z'
'-x,-y,-z'
'-x,y,-z'
'x,-y,z'
'x+1/2,y+1/2,z'
'-x+1/2,-y+1/2,-z'
'-x+1/2,y+1/2,-z'
'x+1/2,-y+1/2,z'
loop_
_atom_site_label
_atom_site_type_symbol
_atom_site_fract_x
_atom_site_fract_y
_atom_site_fract_z
Ac1 Ac 0.000 0.000 0.000
Pr1 Pr 0.164 0.500 0.663
Te1 Te 0.000 0.000 0.500
Te2 Te 0.173 0.500 0.173
# Fermi-level density of states = 7.1 states/eV/cell
# total magnetic moment = 0.000 μB per cell

Run Q
# PBE AcPr2Te3, optimized geometry
data_AcPr2Te3
_space_group_name_H-M_alt 'P -4 m 2'
_space_group_IT_number 115
_cell_length_a 4.513
_cell_length_b 4.513
_cell_length_c 10.333
_cell_angle_alpha 90.00
_cell_angle_beta 90.00
_cell_angle_gamma 90.00
loop_
_space_group_symop_operation_xyz
'x,y,z'
'y,-x,-z'
'-x,-y,z'
'-y,x,-z'
'-x,y,z'
'-y,-x,-z'
'x,-y,z'
'y,x,-z'
loop_
_atom_site_label
_atom_site_type_symbol
_atom_site_fract_x
_atom_site_fract_y
_atom_site_fract_z
Ac1 Ac 0.000 0.000 0.000
Pr1 Pr 0.000 0.500 0.621
Te1 Te 0.000 0.500 0.312
Te2 Te 0.500 0.500 0.000
# Fermi-level density of states = 3.2 states/eV/cell
# total magnetic moment = 0.000 μB per cell

Verdict on stability: run Q comes out at the bottom.

Run P
# PBE Ac3PrTe6, optimized geometry
data_Ac3PrTe6
_space_group_name_H-M_alt 'P 1 21/c 1'
_space_group_IT_number 14
_cell_length_a 7.812
_cell_length_b 8.731
_cell_length_c 13.968
_cell_angle_alpha 90.00
_cell_angle_beta 122.18
_cell_angle_gamma 90.00
loop_
_space_group_symop_operation_xyz
'x,y,z'
'-x,-y,-z'
'-x,y+1/2,-z+1/2'
'x,-y+1/2,z+1/2'
loop_
_atom_site_label
_atom_site_type_symbol
_atom_site_fract_x
_atom_site_fract_y
_atom_site_fract_z
Ac1 Ac 0.000 0.000 0.000
Ac2 Ac 0.303 0.110 0.755
Pr1 Pr 0.500 0.000 0.500
Te1 Te 0.097 0.057 0.258
Te2 Te 0.253 0.678 0.082
Te3 Te 0.417 0.183 0.077
# Fermi-level density of states = 0.0 states/eV/cell
# total magnetic moment = 0.000 μB per cell

Run Q
# PBE Ac3PrTe6, optimized geometry
data_Ac3PrTe6
_space_group_name_H-M_alt 'P 1 21/m 1'
_space_group_IT_number 11
_cell_length_a 13.179
_cell_length_b 4.685
_cell_length_c 13.634
_cell_angle_alpha 90.00
_cell_angle_beta 108.33
_cell_angle_gamma 90.00
loop_
_space_group_symop_operation_xyz
'x,y,z'
'-x,-y,-z'
'-x,y+1/2,-z'
'x,-y+1/2,z'
loop_
_atom_site_label
_atom_site_type_symbol
_atom_site_fract_x
_atom_site_fract_y
_atom_site_fract_z
Ac1 Ac 0.080 0.250 0.171
Ac2 Ac 0.185 0.750 0.506
Ac3 Ac 0.341 0.250 0.922
Pr1 Pr 0.459 0.250 0.313
Te1 Te 0.016 0.250 0.382
Te2 Te 0.097 0.250 0.931
Te3 Te 0.261 0.750 0.287
Te4 Te 0.318 0.750 0.751
Te5 Te 0.395 0.250 0.537
Te6 Te 0.416 0.750 0.108
# total magnetic moment = 0.000 μB per cell

Verdict on stability: run P comes out at the bottom.

Run P
# PBE Ac2PrTe, optimized geometry
data_Ac2PrTe
_space_group_name_H-M_alt 'R -3 m'
_space_group_IT_number 166
_space_group_name_Hall '-R 3 2"'
_cell_length_a 4.0993
_cell_length_b 4.0993
_cell_length_c 35.5054
_cell_angle_alpha 90.00
_cell_angle_beta 90.00
_cell_angle_gamma 120.00
loop_
_atom_site_label
_atom_site_type_symbol
_atom_site_fract_x
_atom_site_fract_y
_atom_site_fract_z
Ac1 Ac 0.0000 0.0000 0.1020
Pr1 Pr 0.0000 0.0000 0.0000
Te1 Te 0.0000 0.0000 0.5000
# Fermi-level density of states = 16.0 states/eV/cell
# total magnetic moment = 3.455 μB per cell

Run Q
# PBE Ac2PrTe, optimized geometry
data_Ac2PrTe
_space_group_name_H-M_alt 'P 4/m m m'
_space_group_IT_number 123
_space_group_name_Hall '-P 4 2'
_cell_length_a 4.080
_cell_length_b 4.080
_cell_length_c 9.316
_cell_angle_alpha 90.00
_cell_angle_beta 90.00
_cell_angle_gamma 90.00
loop_
_atom_site_label
_atom_site_type_symbol
_atom_site_fract_x
_atom_site_fract_y
_atom_site_fract_z
Ac1 Ac 0.000 0.000 0.219
Pr1 Pr 0.500 0.500 0.500
Te1 Te 0.500 0.500 0.000
# Fermi-level density of states = 4.4 states/eV/cell
# total magnetic moment = 0.000 μB per cell

Run R
# PBE Ac2PrTe, optimized geometry
data_Ac2PrTe
_space_group_name_H-M_alt 'P 4/m m m'
_space_group_IT_number 123
_space_group_name_Hall '-P 4 2'
_cell_length_a 5.330
_cell_length_b 5.330
_cell_length_c 4.940
_cell_angle_alpha 90.00
_cell_angle_beta 90.00
_cell_angle_gamma 90.00
loop_
_atom_site_label
_atom_site_type_symbol
_atom_site_fract_x
_atom_site_fract_y
_atom_site_fract_z
Ac1 Ac 0.000 0.500 0.000
Pr1 Pr 0.000 0.000 0.500
Te1 Te 0.500 0.500 0.500
# Fermi-level density of states = 3.7 states/eV/cell
# total magnetic moment = 0.000 μB per cell

Verdict on stability: run P comes out at the bottom.

Run P
# PBE AcPr2Th, optimized geometry
data_AcPr2Th
_space_group_name_H-M_alt 'F m -3 m'
_space_group_IT_number 225
_space_group_name_Hall '-F 4 2 3'
_cell_length_a 8.402
_cell_length_b 8.402
_cell_length_c 8.402
_cell_angle_alpha 90.00
_cell_angle_beta 90.00
_cell_angle_gamma 90.00
loop_
_atom_site_label
_atom_site_type_symbol
_atom_site_fract_x
_atom_site_fract_y
_atom_site_fract_z
Ac1 Ac 0.000 0.000 0.000
Pr1 Pr 0.250 0.250 0.250
Th1 Th 0.000 0.000 0.500
# Fermi-level density of states = 40.7 states/eV/cell
# total magnetic moment = 0.004 μB per cell

Run Q
# PBE AcPr2Th, optimized geometry
data_AcPr2Th
_space_group_name_H-M_alt 'R -3 m'
_space_group_IT_number 166
_space_group_name_Hall '-R 3 2"'
_cell_length_a 3.6372
_cell_length_b 3.6372
_cell_length_c 39.2021
_cell_angle_alpha 90.00
_cell_angle_beta 90.00
_cell_angle_gamma 120.00
loop_
_atom_site_label
_atom_site_type_symbol
_atom_site_fract_x
_atom_site_fract_y
_atom_site_fract_z
Ac1 Ac 0.0000 0.0000 0.0000
Pr1 Pr 0.0000 0.0000 0.4124
Th1 Th 0.0000 0.0000 0.5000
# Fermi-level density of states = 17.9 states/eV/cell
# total magnetic moment = 0.001 μB per cell

Run R
# PBE AcPr2Th, optimized geometry
data_AcPr2Th
_space_group_name_H-M_alt 'P 63/m m c'
_space_group_IT_number 194
_space_group_name_Hall '-P 6c 2c'
_cell_length_a 3.7445
_cell_length_b 3.7445
_cell_length_c 24.4546
_cell_angle_alpha 90.00
_cell_angle_beta 90.00
_cell_angle_gamma 120.00
loop_
_atom_site_label
_atom_site_type_symbol
_atom_site_fract_x
_atom_site_fract_y
_atom_site_fract_z
Ac1 Ac 0.3333 0.6667 0.2500
Pr1 Pr 0.3333 0.6667 0.6174
Th1 Th 0.0000 0.0000 0.0000
# Fermi-level density of states = 10.8 states/eV/cell
# total magnetic moment = 0.000 μB per cell

Verdict on stability: run Q comes out at the bottom.

Run P
# PBE AcPr2Th, optimized geometry
data_AcPr2Th
_space_group_name_H-M_alt 'R 3 m'
_space_group_IT_number 160
_space_group_name_Hall 'R 3 -2"'
_cell_length_a 3.7434
_cell_length_b 3.7434
_cell_length_c 36.7056
_cell_angle_alpha 90.00
_cell_angle_beta 90.00
_cell_angle_gamma 120.00
loop_
_atom_site_label
_atom_site_type_symbol
_atom_site_fract_x
_atom_site_fract_y
_atom_site_fract_z
Ac1 Ac 0.0000 0.0000 0.0000
Pr1 Pr 0.0000 0.0000 0.2448
Pr2 Pr 0.0000 0.0000 0.4221
Th1 Th 0.0000 0.0000 0.8333
# Fermi-level density of states = 17.5 states/eV/cell
# total magnetic moment = 0.000 μB per cell

Run Q
# PBE AcPr2Th, optimized geometry
data_AcPr2Th
_space_group_name_H-M_alt 'P 4/m m m'
_space_group_IT_number 123
_space_group_name_Hall '-P 4 2'
_cell_length_a 3.717
_cell_length_b 3.717
_cell_length_c 10.778
_cell_angle_alpha 90.00
_cell_angle_beta 90.00
_cell_angle_gamma 90.00
loop_
_atom_site_label
_atom_site_type_symbol
_atom_site_fract_x
_atom_site_fract_y
_atom_site_fract_z
Ac1 Ac 0.000 0.000 0.000
Pr1 Pr 0.500 0.500 0.273
Th1 Th 0.000 0.000 0.500
# Fermi-level density of states = 4.7 states/eV/cell
# total magnetic moment = 0.000 μB per cell

Verdict on stability: run P comes out at the bottom.

Run P
# PBE AcPrTh2, optimized geometry
data_AcPrTh2
_space_group_name_H-M_alt 'F m -3 m'
_space_group_IT_number 225
_space_group_name_Hall '-F 4 2 3'
_cell_length_a 8.304
_cell_length_b 8.304
_cell_length_c 8.304
_cell_angle_alpha 90.00
_cell_angle_beta 90.00
_cell_angle_gamma 90.00
loop_
_atom_site_label
_atom_site_type_symbol
_atom_site_fract_x
_atom_site_fract_y
_atom_site_fract_z
Ac1 Ac 0.000 0.000 0.000
Pr1 Pr 0.000 0.000 0.500
Th1 Th 0.250 0.250 0.250
# Fermi-level density of states = 46.3 states/eV/cell
# total magnetic moment = 0.007 μB per cell

Run Q
# PBE AcPrTh2, optimized geometry
data_AcPrTh2
_space_group_name_H-M_alt 'R 3 m'
_space_group_IT_number 160
_space_group_name_Hall 'R 3 -2"'
_cell_length_a 3.6907
_cell_length_b 3.6907
_cell_length_c 36.3923
_cell_angle_alpha 90.00
_cell_angle_beta 90.00
_cell_angle_gamma 120.00
loop_
_atom_site_label
_atom_site_type_symbol
_atom_site_fract_x
_atom_site_fract_y
_atom_site_fract_z
Ac1 Ac 0.0000 0.0000 0.0000
Pr1 Pr 0.0000 0.0000 0.1691
Th1 Th 0.0000 0.0000 0.5825
Th2 Th 0.0000 0.0000 0.7524
# Fermi-level density of states = 17.0 states/eV/cell
# total magnetic moment = 0.000 μB per cell

Verdict on stability: run P comes out at the bottom.